A relaxed structure of Ba2Ga2Pd. Source: Alexandria, functional PBE.

Cell lengths 4.5114, 4.3387, 8.0718 Å; angles 105.59, 90.00, 90.00 degrees
Closest atoms and distances in Å follow each position.
Sites, in units of the cell vectors:
Ga1 0.5000 0.5218 0.0437  2 Pd 2.56
Ga2 0.5000 0.2966 0.5933  1 Pd 2.92
Pd1 0.5000 0.1087 0.2174  2 Ga 2.56
Ba1 0.0000 0.9285 0.8570  8 Ga 3.45-3.74, 2 Pd 3.60, 1 Ba 3.76
Ba2 0.0000 0.6864 0.3728  4 Pd 3.35, 6 Ga 3.41-3.57

* N(E_F): 0.860 states/eV/atom
* energy of formation: -0.432 eV per atom
* offset from the most stable computed form: 60 meV/atom

=====

A relaxed structure of Ho2HfZrP4. Source: Alexandria, functional PBE.

Cell lengths 3.8249, 6.6323, 6.7054 Å; angles 109.30, 90.00, 90.00 degrees
Closest atoms and distances in Å follow each position.
Sites, in units of the cell vectors:
P1 0.5000 0.7524 0.7639  1 Hf 2.66, 2 Zr 2.67, 3 Ho 2.76-2.78
P2 0.0000 0.2575 0.7656  2 Hf 2.65, 1 Zr 2.68, 3 Ho 2.77-2.78
P3 0.5000 0.2476 0.2361  1 Hf 2.66, 2 Zr 2.67, 3 Ho 2.76-2.78
P4 0.0000 0.7425 0.2344  2 Hf 2.65, 1 Zr 2.68, 3 Ho 2.77-2.78
Hf1 0.5000 0.5000 0.0000  6 P 2.65-2.66
Ho1 0.0000 0.5000 0.5000  6 P 2.76-2.77
Ho2 0.5000 0.0000 0.5000  6 P 2.78
Zr1 0.0000 0.0000 0.0000  6 P 2.67-2.68

* N(E_F): 0.470 states/eV/atom
* energy of formation: -1.466 eV per atom

=====

A relaxed structure of NiH2Ru2. Source: Alexandria, functional PBE.

Cell lengths 5.5494, 5.5494, 2.9323 Å; angles 90.00, 90.00, 90.00 degrees
Closest atoms and distances in Å follow each position.
Sites, in units of the cell vectors:
H1 0.1957 0.3043 0.0000  2 Ru 1.85, 2 Ni 2.01
H2 0.8043 0.6957 0.0000  2 Ru 1.85, 2 Ni 2.01
H3 0.3043 0.8043 0.0000  2 Ru 1.85, 2 Ni 2.01
H4 0.6957 0.1957 0.0000  2 Ru 1.85, 2 Ni 2.01
Ni1 0.0000 0.0000 0.0000  4 H 2.01
Ni2 0.5000 0.5000 0.0000  4 H 2.01
Ru1 0.1614 0.6614 0.5000  2 H 1.85
Ru2 0.6614 0.8386 0.5000  2 H 1.85
Ru3 0.8386 0.3386 0.5000  2 H 1.85
Ru4 0.3386 0.1614 0.5000  2 H 1.85

* N(E_F): 1.005 states/eV/atom
* offset from the most stable computed form: 74 meV/atom

=====

A relaxed structure of SiOs4Br. Source: Alexandria, functional PBE.

Cell lengths 5.2561, 5.2561, 5.2561 Å; angles 60.00, 60.00, 60.00 degrees
Closest atoms and distances in Å follow each position.
Sites, in units of the cell vectors:
Os1 0.3757 0.3757 0.8730  6 Os 2.61-2.64
Os2 0.3757 0.3757 0.3757  6 Os 2.61-2.64
Os3 0.8730 0.3757 0.3757  6 Os 2.61-2.64
Os4 0.3757 0.8730 0.3757  6 Os 2.61-2.64
Si1 0.7500 0.7500 0.7500  12 Os 3.08, 4 Br 3.22
Br1 0.0000 0.0000 0.0000  12 Os 3.08, 4 Si 3.22

* N(E_F): 1.738 states/eV/atom
* energy relative to the elements, uncorrected: 1.51 eV per atom

=====

A relaxed structure of KSr3Rh. Source: Alexandria, functional PBE.

Cell lengths 6.7159, 6.7114, 11.6233 Å; angles 97.60, 97.57, 62.56 degrees
Closest atoms and distances in Å follow each position.
Sites, in units of the cell vectors:
Sr1 0.5998 0.5654 0.3518  2 Rh 3.01
Sr2 0.2319 0.1976 0.2964  2 Rh 3.13
Sr3 0.4311 0.3973 0.6098  2 Rh 3.16
Sr4 0.7683 0.7344 0.7026  2 Rh 3.01
Sr5 0.1362 0.1022 0.7581  2 Rh 3.13
Sr6 0.9370 0.9025 0.4447  2 Rh 3.15-3.16
K1 0.8660 0.8315 0.0778  3 K 4.07-4.16, 2 Sr 4.22-4.33
K2 0.5024 0.4682 0.9766  3 K 4.07-4.16, 2 Sr 4.22-4.33
Rh1 0.3777 0.9559 0.5273  1 Rh 2.70, 2 Sr 3.01
Rh2 0.9902 0.3439 0.5272  1 Rh 2.70, 2 Sr 3.01

* N(E_F): 0.691 states/eV/atom
* energy of formation: -0.100 eV per atom
* offset from the most stable computed form: 36 meV/atom

=====

A relaxed structure of Pa3Fe8Co. Source: Alexandria, functional PBE.

Cell lengths 4.9540, 4.9540, 8.6133 Å; angles 73.29, 73.29, 60.00 degrees
Closest atoms and distances in Å follow each position.
Sites, in units of the cell vectors:
Fe1 0.0605 0.0605 0.3213  6 Fe 2.44-2.53
Fe2 0.0658 0.5653 0.8036  6 Fe 2.41-2.55, 1 Pa 2.70
Fe3 0.8119 0.8119 0.5644  6 Fe 2.41-2.44
Fe4 0.5653 0.5653 0.8036  6 Fe 2.41-2.55, 1 Pa 2.70
Fe5 0.5577 0.0605 0.3213  6 Fe 2.44-2.53
Fe6 0.5653 0.0658 0.8036  6 Fe 2.41-2.55, 1 Pa 2.70
Fe7 0.3123 0.3123 0.0632  6 Fe 2.53-2.55
Fe8 0.0605 0.5577 0.3213  6 Fe 2.44-2.53
Pa1 0.0062 0.0062 0.9813  12 Fe 2.87-3.11, 1 Co 2.92, 3 Pa 3.08
Pa2 0.4928 0.4928 0.5215  12 Fe 2.70-2.96, 3 Co 2.98
Pa3 0.6258 0.6258 0.1227  12 Fe 2.90-2.96, 4 Pa 3.08-3.24
Co1 0.1259 0.1259 0.6223  12 Fe 2.83-2.90, 4 Pa 2.92-2.98

* N(E_F): 1.427 states/eV/atom
* energy of formation: -0.109 eV per atom

=====

A relaxed structure of MnInBr. Source: Alexandria, functional PBE.

Cell lengths 4.8339, 4.8339, 4.8339 Å; angles 60.00, 60.00, 60.00 degrees
Closest atoms and distances in Å follow each position.
Sites, in units of the cell vectors:
Br1 0.0000 0.0000 0.0000  4 Mn 2.96
In1 0.5000 0.5000 0.5000  4 Mn 2.96
Mn1 0.2500 0.2500 0.2500  4 In 2.96, 4 Br 2.96

* N(E_F): 1.304 states/eV/atom
* energy relative to the elements, uncorrected: 0.38 eV per atom

=====

A relaxed structure of NiGe2Pd2. Source: Alexandria, functional PBE.

Cell lengths 7.1462, 7.1462, 3.0453 Å; angles 90.00, 90.00, 90.00 degrees
Closest atoms and distances in Å follow each position.
Sites, in units of the cell vectors:
Pd1 0.8609 0.6391 0.0000  6 Ge 2.51-2.65, 2 Ni 2.76
Pd2 0.1391 0.3609 0.0000  6 Ge 2.51-2.65, 2 Ni 2.76
Pd3 0.6391 0.1391 0.0000  6 Ge 2.51-2.65, 2 Ni 2.76
Pd4 0.3609 0.8609 0.0000  6 Ge 2.51-2.65, 2 Ni 2.76
Ni1 0.0000 0.0000 0.0000  4 Pd 2.76, 2 Ni 3.05, 8 Ge 3.08
Ni2 0.5000 0.5000 0.0000  4 Pd 2.76, 2 Ni 3.05, 8 Ge 3.08
Ge1 0.1640 0.6640 0.5000  6 Pd 2.51-2.65
Ge2 0.8360 0.3360 0.5000  6 Pd 2.51-2.65
Ge3 0.3360 0.1640 0.5000  6 Pd 2.51-2.65
Ge4 0.6640 0.8360 0.5000  6 Pd 2.51-2.65

* N(E_F): 0.500 states/eV/atom
* energy of formation: -0.080 eV per atom

=====

A relaxed structure of La3YAg. Source: Alexandria, functional PBE.

Cell lengths 5.8585, 5.8585, 5.8585 Å; angles 90.00, 90.00, 90.00 degrees
Closest atoms and distances in Å follow each position.
Sites, in units of the cell vectors:
La1 0.0000 0.0000 0.5000  2 Y 2.93
La2 0.5000 0.0000 0.0000  2 Y 2.93
La3 0.0000 0.5000 0.0000  2 Y 2.93
Ag1 0.5000 0.5000 0.5000  12 La 4.14
Y1 0.0000 0.0000 0.0000  6 La 2.93

* N(E_F): 1.092 states/eV/atom
* energy of formation: 0.708 eV per atom
* offset from the most stable computed form: 650 meV/atom

=====

A relaxed structure of AsSe3. Source: Alexandria, functional PBE.

Cell lengths 4.8748, 4.8748, 4.8748 Å; angles 109.53, 109.53, 109.53 degrees
Closest atoms and distances in Å follow each position.
Sites, in units of the cell vectors:
As1 0.0000 0.0000 0.0000  6 Se 2.81
Se1 0.5000 0.0000 0.5000  4 Se 2.81, 2 As 2.81
Se2 0.5000 0.5000 0.0000  4 Se 2.81, 2 As 2.81
Se3 0.0000 0.5000 0.5000  2 As 2.81, 4 Se 2.81

* N(E_F): 0.860 states/eV/atom
* offset from the most stable computed form: 65 meV/atom
* energy relative to the elements, uncorrected: 0.14 eV per atom

=====

A relaxed structure of YCu2Ir2. Source: Alexandria, functional PBE.

Cell lengths 7.3454, 7.3454, 2.9596 Å; angles 90.00, 90.00, 90.00 degrees
Closest atoms and distances in Å follow each position.
Sites, in units of the cell vectors:
Ir1 0.6273 0.1273 0.0000  6 Cu 2.58-2.65, 1 Ir 2.64
Ir2 0.8727 0.6273 0.0000  6 Cu 2.58-2.65, 1 Ir 2.64
Ir3 0.1273 0.3727 0.0000  6 Cu 2.58-2.65, 1 Ir 2.64
Ir4 0.3727 0.8727 0.0000  6 Cu 2.58-2.65, 1 Ir 2.64
Cu1 0.3308 0.1692 0.5000  6 Ir 2.58-2.65
Cu2 0.6692 0.8308 0.5000  6 Ir 2.58-2.65
Cu3 0.8308 0.3308 0.5000  6 Ir 2.58-2.65
Cu4 0.1692 0.6692 0.5000  6 Ir 2.58-2.65
Y1 0.5000 0.5000 0.0000  4 Ir 2.89, 2 Y 2.96, 8 Cu 3.10
Y2 0.0000 0.0000 0.0000  4 Ir 2.89, 2 Y 2.96, 8 Cu 3.10

* N(E_F): 0.930 states/eV/atom
* energy of formation: -0.068 eV per atom
* offset from the most stable computed form: 80 meV/atom

=====

A relaxed structure of Pa2PN. Source: Alexandria, functional PBE.

Cell lengths 5.3655, 5.3655, 10.3570 Å; angles 90.01, 90.00, 90.00 degrees
Closest atoms and distances in Å follow each position.
Sites, in units of the cell vectors:
Pa1 0.2498 0.5000 0.8585  3 N 2.42-2.69, 2 P 2.69
Pa2 0.7499 0.5000 0.6085  3 N 2.42-2.69, 2 P 2.69
Pa3 0.2498 0.0000 0.6415  3 N 2.42-2.69, 2 P 2.69
Pa4 0.7502 0.5000 0.1415  3 N 2.42-2.69, 2 P 2.69
Pa5 0.7502 0.0000 0.3585  3 N 2.42-2.69, 2 P 2.69
Pa6 0.7499 0.0000 0.8915  3 N 2.42-2.69, 2 P 2.69
Pa7 0.2501 0.0000 0.1085  3 N 2.42-2.69, 2 P 2.69
Pa8 0.2501 0.5000 0.3915  3 N 2.42-2.69, 2 P 2.69
P1 0.7498 0.5000 0.8750  6 Pa 2.69-2.76
P2 0.2502 0.5000 0.1250  6 Pa 2.69-2.76
P3 0.7498 0.0000 0.6250  6 Pa 2.69-2.76
P4 0.2502 0.0000 0.3750  6 Pa 2.69-2.76
N1 0.7503 0.4998 0.3750  6 Pa 2.42-2.69
N2 0.7503 0.0002 0.1250  6 Pa 2.42-2.69
N3 0.2497 0.9998 0.8750  6 Pa 2.42-2.69
N4 0.2497 0.5002 0.6250  6 Pa 2.42-2.69

* N(E_F): 0.865 states/eV/atom
* offset from the most stable computed form: 78 meV/atom
* energy relative to the elements, uncorrected: -1.30 eV per atom